PBE NbMo8W4, relaxed; total DFT energy (no corrections) = -141.45 eV/f.u.; energy of formation from the pure elements = 7.08 eV/f.u.
1.0
4.4313 -3.1444 0.0000
4.4313 3.1444 0.0000
-0.0314 0.0000 8.4185
Nb Mo W
1 8 4
Cartesian
0.0000 0.0000 0.0000
2.1623 0.0000 1.9339
2.1604 0.0000 6.4877
4.4159 1.5113 2.0127
4.4153 1.5113 6.4058
4.4159 -1.5113 2.0127
4.4153 -1.5113 6.4058
6.6708 0.0000 1.9308
6.6689 0.0000 6.4846
-0.0157 0.0000 4.2092
2.2000 1.5722 4.2092
2.2000 -1.5722 4.2092
4.4156 0.0000 4.2092


PBE BaZn2Re, relaxed; total DFT energy (no corrections) = -12.93 eV/f.u.; energy above the lowest structure with this stoichiometry = 536 meV per atom; energy of formation from the pure elements = 3.99 eV/f.u.
1.0
-2.1980 2.1980 4.5377
2.1980 -2.1980 4.5377
2.1980 2.1980 -4.5377
Ba Zn Re
1 2 1
Cartesian
0.0000 0.0000 0.0000
0.0000 0.0000 4.5377
0.0000 2.1980 2.2689
2.1980 0.0000 2.2689


PBE CaTiCrN2, relaxed; total DFT energy (no corrections) = -31.09 eV/f.u.; formation energy from raw total energies = 1.015 eV per atom
1.0
4.0405 0.0000 0.0000
0.0000 4.0405 0.0000
0.0000 0.0000 5.5382
Ca Ti Cr N
1 1 1 2
Cartesian
0.0000 0.0000 0.0000
0.0000 0.0000 2.7691
2.0203 2.0203 0.0000
0.0000 2.0203 2.7691
2.0203 0.0000 2.7691


PBE Sr3TiZn2O8, relaxed; total DFT energy (no corrections) = -85.10 eV/f.u.; formation energy from raw total energies = -2.139 eV per atom
1.0
5.6284 0.0000 0.0000
-2.8142 4.8744 0.0000
0.0000 0.0000 7.2984
Sr Ti Zn O
3 1 2 8
Cartesian
0.0000 0.0000 0.0000
0.0000 3.2496 4.5985
2.8142 1.6248 2.6999
0.0000 0.0000 3.6492
0.0000 3.2496 1.4734
2.8142 1.6248 5.8250
0.0000 1.5606 2.4643
-1.4627 4.0940 2.4643
1.3515 0.7803 4.8341
0.0000 3.2496 6.9397
2.8142 1.6248 0.3587
1.4627 4.0940 2.4643
4.2769 0.7803 4.8341
2.8142 3.3137 4.8341


PBE Zn2SiNi, relaxed; total DFT energy (no corrections) = -13.87 eV/f.u.; formation energy from raw total energies = -0.029 eV per atom
1.0
3.2901 0.0000 0.0000
0.0000 3.2901 0.0000
0.0000 0.0000 4.9595
Zn Si Ni
2 1 1
Cartesian
0.0000 0.0000 1.2091
0.0000 0.0000 3.7505
1.6451 1.6451 2.4798
1.6451 1.6451 0.0000


PBE EuPbF, relaxed; total DFT energy (no corrections) = -21.21 eV/f.u.; formation energy from raw total energies = -1.784 eV per atom
1.0
-1.7188 1.7188 6.5142
1.7188 -1.7188 6.5142
1.7188 1.7188 -6.5142
Eu Pb F
1 1 1
Cartesian
0.0000 0.0000 0.0000
0.0000 0.0000 3.6133
0.0000 0.0000 7.0398